No. 1
Below is a relaxed SmHo6Se8 crystal, with properties calculated at the PBE level.

abc: 8.0962 8.0962 8.0962
angles: 60.00 60.00 60.00
Atoms (fractional coordinates):
Sm  0.0000  0.0000  0.0000
Ho  0.0000  0.0000  0.5000
Ho  0.0000  0.5000  0.0000
Ho  0.0000  0.5000  0.5000
Ho  0.5000  0.0000  0.0000
Ho  0.5000  0.0000  0.5000
Ho  0.5000  0.5000  0.0000
Se  0.2500  0.2500  0.2500
Se  0.2585  0.2585  0.7415
Se  0.2585  0.7415  0.2585
Se  0.2585  0.7415  0.7415
Se  0.7415  0.2585  0.2585
Se  0.7415  0.2585  0.7415
Se  0.7415  0.7415  0.2585
Se  0.7500  0.7500  0.7500

Properties
Mass density in g/cm3: 7.84
Space group: No. 225
Energy in eV/atom: -5.8180
Uncorrected formation energy in eV/atom: -1.814

No. 2
Below is a relaxed BaCaTlO3 crystal, with properties calculated at the PBE level.

abc: 6.7104 3.5805 10.7261
angles: 90.00 105.56 90.00
Atoms (fractional coordinates):
Ba  0.2406  0.2500  0.2217
Ba  0.7594  0.7500  0.7783
Ca  0.3334  0.7500  0.8811
Ca  0.6666  0.2500  0.1189
Tl  0.1568  0.2500  0.6048
Tl  0.8432  0.7500  0.3952
O  0.0798  0.2500  0.7978
O  0.3636  0.7500  0.6504
O  0.4033  0.7500  0.0998
O  0.5967  0.2500  0.9002
O  0.6364  0.2500  0.3496
O  0.9202  0.7500  0.2022

Properties
Mass density in g/cm3: 5.75
Space group: No. 11
Energy in eV/atom: -5.4586
Uncorrected formation energy in eV/atom: -1.931

No. 3
Below is a relaxed Fe2CuICl crystal, with properties calculated at the PBE level.

abc: 4.8979 4.8979 4.4434
angles: 90.00 90.00 90.00
Atoms (fractional coordinates):
Fe  0.0000  0.5000  0.0000
Fe  0.5000  0.0000  0.0000
Cu  0.0000  0.0000  0.0000
I  0.5000  0.5000  0.5000
Cl  0.0000  0.0000  0.5000

Properties
Mass density in g/cm3: 5.26
Space group: No. 123
Energy in eV/atom: -4.0191
Uncorrected formation energy in eV/atom: 0.865

No. 4
Below is a relaxed Si5Pt12 crystal, with properties calculated at the PBE level.

abc: 13.5577 13.5577 5.5929
angles: 90.00 90.00 90.00
Atoms (fractional coordinates):
Si  0.0576  0.1363  0.0700
Si  0.0648  0.6341  0.5134
Si  0.1341  0.9352  0.4866
Si  0.1363  0.4424  0.0700
Si  0.2500  0.2500  0.5606
Si  0.2500  0.7500  0.0000
Si  0.3637  0.0576  0.0700
Si  0.3659  0.5648  0.4866
Si  0.4352  0.8659  0.5134
Si  0.4424  0.3637  0.0700
Si  0.5576  0.6363  0.9300
Si  0.5648  0.1341  0.4866
Si  0.6341  0.4352  0.5134
Si  0.6363  0.9424  0.9300
Si  0.7500  0.2500  0.0000
Si  0.7500  0.7500  0.4394
Si  0.8637  0.5576  0.9300
Si  0.8659  0.0648  0.5134
Si  0.9352  0.3659  0.4866
Si  0.9424  0.8637  0.9300
Pt  0.0366  0.5964  0.9633
Pt  0.0429  0.0839  0.5976
Pt  0.0839  0.4571  0.5976
Pt  0.0945  0.7868  0.7441
Pt  0.0964  0.9634  0.0367
Pt  0.1030  0.2683  0.8119
Pt  0.1025  0.2841  0.3120
Pt  0.1036  0.7697  0.2446
Pt  0.2132  0.5945  0.2559
Pt  0.2159  0.1025  0.3120
Pt  0.2303  0.6036  0.7554
Pt  0.2317  0.1030  0.8119
Pt  0.2683  0.3970  0.8119
Pt  0.2697  0.8964  0.7554
Pt  0.2841  0.3975  0.3120
Pt  0.2868  0.9055  0.2559
Pt  0.3964  0.7303  0.2446
Pt  0.3975  0.2159  0.3120
Pt  0.3970  0.2317  0.8119
Pt  0.4036  0.5366  0.0367
Pt  0.4055  0.7132  0.7441
Pt  0.4161  0.0429  0.5976
Pt  0.4571  0.4161  0.5976
Pt  0.4634  0.9036  0.9633
Pt  0.5366  0.0964  0.0367
Pt  0.5429  0.5839  0.4024
Pt  0.5839  0.9571  0.4024
Pt  0.5945  0.2868  0.2559
Pt  0.5964  0.4634  0.9633
Pt  0.6030  0.7683  0.1881
Pt  0.6025  0.7841  0.6880
Pt  0.6036  0.2697  0.7554
Pt  0.7132  0.0945  0.7441
Pt  0.7159  0.6025  0.6880
Pt  0.7303  0.1036  0.2446
Pt  0.7317  0.6030  0.1881
Pt  0.7683  0.8970  0.1881
Pt  0.7697  0.3964  0.2446
Pt  0.7841  0.8975  0.6880
Pt  0.7868  0.4055  0.7441
Pt  0.8964  0.2303  0.7554
Pt  0.8975  0.7159  0.6880
Pt  0.8970  0.7317  0.1881
Pt  0.9036  0.0366  0.9633
Pt  0.9055  0.2132  0.2559
Pt  0.9161  0.5429  0.4024
Pt  0.9571  0.9161  0.4024
Pt  0.9634  0.4036  0.0367

Properties
Mass density in g/cm3: 16.03
Space group: No. 85
Energy in eV/atom: -6.4600
Uncorrected formation energy in eV/atom: -0.601
E above lowest polymorph in kJ/mol of formula units: 0

No. 5
Below is a relaxed FeTc2Cl crystal, with properties calculated at the PBE level.

abc: 2.8064 2.8064 8.5409
angles: 90.00 90.00 116.17
Atoms (fractional coordinates):
Fe  0.0000  0.0000  0.0000
Tc  0.0000  0.0000  0.4937
Tc  0.5000  0.5000  0.2507
Cl  0.5000  0.5000  0.7787

Properties
Mass density in g/cm3: 7.90
Space group: No. 35
Energy in eV/atom: -7.3211
Uncorrected formation energy in eV/atom: 0.439
E above lowest polymorph in kJ/mol of formula units: 75

No. 6
Below is a relaxed Na3Pu2PbSe6 crystal, with properties calculated at the PBE level.

abc: 7.3755 7.3755 7.3530
angles: 99.70 99.70 120.03
Atoms (fractional coordinates):
Na  0.0000  0.0000  0.0000
Na  0.3395  0.6605  0.0000
Na  0.6605  0.3395  0.0000
Pu  0.1671  0.8329  0.5000
Pu  0.8329  0.1671  0.5000
Pb  0.5000  0.5000  0.5000
Se  0.0676  0.4220  0.2682
Se  0.2245  0.2245  0.7338
Se  0.4220  0.0676  0.2682
Se  0.5780  0.9324  0.7318
Se  0.7755  0.7755  0.2662
Se  0.9324  0.5780  0.7318

Properties
Mass density in g/cm3: 6.31
Space group: No. 12
Energy in eV/atom: -5.9759
Uncorrected formation energy in eV/atom: -1.206

No. 7
Below is a relaxed ZnTeIr2 crystal, with properties calculated at the PBE level.

abc: 3.0916 3.5945 5.9079
angles: 90.00 90.00 90.00
Atoms (fractional coordinates):
Zn  0.0000  0.0000  0.0000
Te  0.0000  0.0000  0.5000
Ir  0.5000  0.5000  0.2346
Ir  0.5000  0.5000  0.7654

Properties
Mass density in g/cm3: 14.60
Space group: No. 47
Energy in eV/atom: -5.3453
Uncorrected formation energy in eV/atom: 0.189
E above lowest polymorph in kJ/mol of formula units: 0

No. 8
Below is a relaxed Pr8Dy6Er crystal, with properties calculated at the PBE level.

abc: 8.8003 8.8003 8.8003
angles: 62.96 62.96 62.96
Atoms (fractional coordinates):
Pr  0.0783  0.0783  0.0783
Pr  0.2159  0.6129  0.2523
Pr  0.2523  0.2159  0.6129
Pr  0.3871  0.7477  0.7841
Pr  0.6129  0.2523  0.2159
Pr  0.7477  0.7841  0.3871
Pr  0.7841  0.3871  0.7477
Pr  0.9217  0.9217  0.9217
Dy  0.0399  0.5958  0.7478
Dy  0.2522  0.9601  0.4042
Dy  0.4042  0.2522  0.9601
Dy  0.5958  0.7478  0.0399
Dy  0.7478  0.0399  0.5958
Dy  0.9601  0.4042  0.2522
Er  0.5000  0.5000  0.5000

Properties
Mass density in g/cm3: 7.34
Space group: No. 148
Energy in eV/atom: -4.5715
Energy relative to the elements in eV/atom: 0.123

- Which value of energy does entry 6 give?
  -5.9759 eV/atom